Entry 1:
VASP calculation (GGA-PBE) on Zr2Mn9Os after structural relaxation.

Cell: 8.3876 8.3876 8.3876 Å, 33.11 33.11 33.11°
Atoms (fractional coordinates):
1 Zr 0.1399 0.1399 0.1399
2 Zr 0.8601 0.8601 0.8601
3 Mn 0.0687 0.5857 0.5857
4 Mn 0.3363 0.3363 0.3363
5 Mn 0.4143 0.4143 0.9313
6 Mn 0.4143 0.9313 0.4143
7 Mn 0.5000 0.5000 0.5000
8 Mn 0.5857 0.0687 0.5857
9 Mn 0.5857 0.5857 0.0687
10 Mn 0.6637 0.6637 0.6637
11 Mn 0.9313 0.4143 0.4143
12 Os 0.0000 0.0000 0.0000

Computed properties:
The crystal system is trigonal. For the magnetic moment, the calculation gives 1.32 μB per cell. Its symmetry is No. 166. The calculation puts the formation energy at 78 meV per atom.



Entry 2:
VASP calculation (GGA-PBE) on La4Tm3Th after structural relaxation.

Cell: 24.3874 3.3953 6.7627 Å, 90.00 105.67 90.00°
Atoms (fractional coordinates):
1 La 0.1192 0.0000 0.3717
2 La 0.2436 0.5000 0.2336
3 La 0.2564 0.0000 0.7664
4 La 0.3808 0.5000 0.6283
5 La 0.6192 0.5000 0.3717
6 La 0.7436 0.0000 0.2336
7 La 0.7564 0.5000 0.7664
8 La 0.8808 0.0000 0.6283
9 Tm 0.0000 0.0000 0.0000
10 Tm 0.1218 0.0000 0.8638
11 Tm 0.3782 0.5000 0.1362
12 Tm 0.5000 0.5000 0.0000
13 Tm 0.6218 0.5000 0.8638
14 Tm 0.8782 0.0000 0.1362
15 Th 0.0000 0.5000 0.5000
16 Th 0.5000 0.0000 0.5000

Computed properties:
The crystal system is monoclinic. For the magnetic moment, the calculation gives 0.00 μB per cell. Its symmetry is No. 12. The calculation puts the formation energy at 189 meV per atom.



Entry 3:
VASP calculation (GGA-PBE) on NaSn2B after structural relaxation.

Cell: 7.8904 7.8904 5.5334 Å, 90.00 90.00 90.00°
Atoms (fractional coordinates):
1 Na 0.0000 0.0000 0.0000
2 Na 0.0000 0.5000 0.2500
3 Na 0.5000 0.0000 0.7500
4 Na 0.5000 0.5000 0.5000
5 Sn 0.1517 0.7500 0.6250
6 Sn 0.2500 0.1517 0.3750
7 Sn 0.2500 0.3483 0.8750
8 Sn 0.3483 0.7500 0.1250
9 Sn 0.6517 0.2500 0.1250
10 Sn 0.7500 0.6517 0.8750
11 Sn 0.7500 0.8483 0.3750
12 Sn 0.8483 0.2500 0.6250
13 B 0.0000 0.0000 0.5000
14 B 0.0000 0.5000 0.7500
15 B 0.5000 0.0000 0.2500
16 B 0.5000 0.5000 0.0000

Computed properties:
The crystal system is tetragonal. For the magnetic moment, the calculation gives 0.00 μB per cell. Its symmetry is No. 122. The calculation puts the formation energy at 334 meV per atom.



Entry 4:
VASP calculation (GGA-PBE) on Mg2In2Ag after structural relaxation.

Cell: 3.2607 4.5838 14.9727 Å, 90.00 90.00 90.00°
Atoms (fractional coordinates):
1 Mg 0.0000 0.0000 0.0000
2 Mg 0.0000 0.0000 0.2241
3 Mg 0.0000 0.5000 0.5000
4 Mg 0.0000 0.5000 0.7241
5 In 0.5000 0.0000 0.6104
6 In 0.5000 0.0000 0.8140
7 In 0.5000 0.5000 0.1104
8 In 0.5000 0.5000 0.3140
9 Ag 0.5000 0.0000 0.4213
10 Ag 0.5000 0.5000 0.9213

Computed properties:
The crystal system is orthorhombic. The excess energy over the best structure of this formula in the dataset comes out at 0.000 eV per atom. For the magnetic moment, the calculation gives 0.00 μB per cell. Its symmetry is No. 38. The calculation puts the formation energy at -77 meV per atom.



Entry 5:
VASP calculation (GGA-PBE) on AcGd2Sn after structural relaxation.

Cell: 7.9290 7.9290 7.9290 Å, 90.00 90.00 90.00°
Atoms (fractional coordinates):
1 Ac 0.0000 0.0000 0.0000
2 Ac 0.0000 0.5000 0.5000
3 Ac 0.5000 0.0000 0.5000
4 Ac 0.5000 0.5000 0.0000
5 Gd 0.2500 0.2500 0.2500
6 Gd 0.2500 0.2500 0.7500
7 Gd 0.2500 0.7500 0.2500
8 Gd 0.2500 0.7500 0.7500
9 Gd 0.7500 0.2500 0.2500
10 Gd 0.7500 0.2500 0.7500
11 Gd 0.7500 0.7500 0.2500
12 Gd 0.7500 0.7500 0.7500
13 Sn 0.0000 0.0000 0.5000
14 Sn 0.0000 0.5000 0.0000
15 Sn 0.5000 0.0000 0.0000
16 Sn 0.5000 0.5000 0.5000

Computed properties:
The crystal system is cubic. The excess energy over the best structure of this formula in the dataset comes out at 0.173 eV per atom. For the magnetic moment, the calculation gives 62.25 μB per cell. Its symmetry is No. 225. The calculation puts the formation energy at -210 meV per atom.



Entry 6:
VASP calculation (GGA-PBE) on RbZnCl3 after structural relaxation.

Cell: 9.0908 9.0908 9.0948 Å, 92.09 92.09 23.20°
Atoms (fractional coordinates):
1 Rb 0.1893 0.1893 0.2368
2 Rb 0.8107 0.8107 0.7632
3 Zn 0.4120 0.4120 0.2684
4 Zn 0.5880 0.5880 0.7316
5 Cl 0.0011 0.0011 0.2701
6 Cl 0.1658 0.1658 0.6038
7 Cl 0.3465 0.3465 0.0497
8 Cl 0.6535 0.6535 0.9503
9 Cl 0.8342 0.8342 0.3962
10 Cl 0.9989 0.9989 0.7299

Computed properties:
The crystal system is monoclinic. For the magnetic moment, the calculation gives 0.00 μB per cell. Its symmetry is No. 12. Its total DFT energy (no corrections) is -2.941 eV/atom.



Entry 7:
VASP calculation (GGA-PBE) on Pr2TlRh after structural relaxation.

Cell: 3.9931 14.9612 7.5722 Å, 90.00 90.00 90.00°
Atoms (fractional coordinates):
1 Pr 0.0000 0.1405 0.9999
2 Pr 0.0000 0.1405 0.5001
3 Pr 0.0000 0.8595 0.0001
4 Pr 0.0000 0.8595 0.4999
5 Pr 0.5000 0.3595 0.0001
6 Pr 0.5000 0.3595 0.4999
7 Pr 0.5000 0.6405 0.9999
8 Pr 0.5000 0.6405 0.5001
9 Tl 0.0000 0.4984 0.2500
10 Tl 0.0000 0.5016 0.7500
11 Tl 0.5000 0.0016 0.7500
12 Tl 0.5000 0.9984 0.2500
13 Rh 0.0000 0.2984 0.2500
14 Rh 0.0000 0.7016 0.7500
15 Rh 0.5000 0.2016 0.7500
16 Rh 0.5000 0.7984 0.2500

Computed properties:
The crystal system is orthorhombic. The excess energy over the best structure of this formula in the dataset comes out at 0.000 eV per atom. For the magnetic moment, the calculation gives 0.00 μB per cell. Its symmetry is No. 63. The calculation puts the formation energy at -505 meV per atom.